Entry A
Below is crystalline YPdN2F at its relaxed geometry, with properties calculated at the PBE level.

Computed properties:
DOS(E_F)	1.115	states/eV per atom
V	17.0	A^3/atom
magnetic moment	0.0	μB per formula unit

abc: 4.5038 4.5038 4.2010
angles: 90.00 90.00 90.00
Atoms (fractional coordinates):
Y  0.0000  0.0000  0.0000
Pd  0.5000  0.5000  0.5000
N  0.0000  0.5000  0.0000
N  0.5000  0.0000  0.0000
F  0.0000  0.0000  0.5000

Entry B
Below is crystalline YPdN2F at its relaxed geometry, with properties calculated at the PBE level.

Computed properties:
DOS(E_F)	0.913	states/eV per atom
V	13.3	A^3/atom
magnetic moment	0.7	μB per formula unit

abc: 4.0083 4.0083 4.1277
angles: 90.00 90.00 90.00
Atoms (fractional coordinates):
Y  0.0000  0.0000  0.0000
Pd  0.5000  0.5000  0.5000
N  0.0000  0.5000  0.5000
N  0.5000  0.0000  0.5000
F  0.5000  0.5000  0.0000

Stability verdict: entry B, ahead by 446 meV per atom

Entry A
Below is crystalline YPdNF2 at its relaxed geometry, with properties calculated at the PBE level.

Computed properties:
DOS(E_F)	0.756	states/eV per atom
V	17.5	A^3/atom
magnetic moment	1.9	μB per formula unit

abc: 4.2922 4.2922 4.7475
angles: 90.00 90.00 90.00
Atoms (fractional coordinates):
Y  0.0000  0.0000  0.0000
Pd  0.5000  0.5000  0.5000
N  0.0000  0.0000  0.5000
F  0.0000  0.5000  0.0000
F  0.5000  0.0000  0.0000

Entry B
Below is crystalline YPdNF2 at its relaxed geometry, with properties calculated at the PBE level.

Computed properties:
DOS(E_F)	0.163	states/eV per atom
V	14.4	A^3/atom
magnetic moment	0.0	μB per formula unit

abc: 4.1051 4.1051 4.2594
angles: 90.00 90.00 90.00
Atoms (fractional coordinates):
Y  0.0000  0.0000  0.0000
Pd  0.5000  0.5000  0.5000
N  0.5000  0.5000  0.0000
F  0.0000  0.5000  0.5000
F  0.5000  0.0000  0.5000

Stability verdict: entry A, ahead by 345 meV per atom

Entry A
Below is crystalline ZrPdNF2 at its relaxed geometry, with properties calculated at the PBE level.

Computed properties:
DOS(E_F)	0.694	states/eV per atom
V	14.4	A^3/atom
magnetic moment	0.0	μB per formula unit

abc: 4.4603 4.4603 3.6258
angles: 90.00 90.00 90.00
Atoms (fractional coordinates):
Zr  0.0000  0.0000  0.0000
Pd  0.5000  0.5000  0.0000
N  0.5000  0.5000  0.5000
F  0.0000  0.5000  0.5000
F  0.5000  0.0000  0.5000

Entry B
Below is crystalline ZrPdNF2 at its relaxed geometry, with properties calculated at the PBE level.

Computed properties:
DOS(E_F)	0.728	states/eV per atom
V	14.9	A^3/atom
magnetic moment	0.7	μB per formula unit

abc: 4.1757 4.1757 4.2645
angles: 90.00 90.00 90.00
Atoms (fractional coordinates):
Zr  0.0000  0.0000  0.0000
Pd  0.5000  0.5000  0.5000
N  0.0000  0.0000  0.5000
F  0.0000  0.5000  0.0000
F  0.5000  0.0000  0.0000

Stability verdict: entry B, ahead by 1216 meV per atom

Entry A
Below is crystalline ZrPdN2F at its relaxed geometry, with properties calculated at the PBE level.

Computed properties:
DOS(E_F)	0.707	states/eV per atom
V	12.6	A^3/atom
magnetic moment	0.0	μB per formula unit

abc: 4.0095 4.0095 3.9080
angles: 90.00 90.00 90.00
Atoms (fractional coordinates):
Zr  0.0000  0.0000  0.0000
Pd  0.5000  0.5000  0.5000
N  0.0000  0.5000  0.5000
N  0.5000  0.0000  0.5000
F  0.5000  0.5000  0.0000

Entry B
Below is crystalline ZrPdN2F at its relaxed geometry, with properties calculated at the PBE level.

Computed properties:
DOS(E_F)	0.888	states/eV per atom
V	14.8	A^3/atom
magnetic moment	0.4	μB per formula unit

abc: 4.2633 4.2633 4.0823
angles: 90.00 90.00 90.00
Atoms (fractional coordinates):
Zr  0.0000  0.0000  0.0000
Pd  0.5000  0.5000  0.5000
N  0.0000  0.5000  0.0000
N  0.5000  0.0000  0.0000
F  0.0000  0.0000  0.5000

Stability verdict: entry B, ahead by 412 meV per atom

Entry A
Below is crystalline Pm2NF2 at its relaxed geometry, with properties calculated at the PBE level.

Computed properties:
DOS(E_F)	0.386	states/eV per atom
V	18.0	A^3/atom
magnetic moment	0.0	μB per formula unit

abc: 3.6037 3.6037 8.3035
angles: 103.20 103.20 59.93
Atoms (fractional coordinates):
Pm  0.1057  0.1057  0.3260
Pm  0.8943  0.8943  0.6740
N  0.5000  0.5000  0.5000
F  0.2826  0.2826  0.8328
F  0.7174  0.7174  0.1672

Entry B
Below is crystalline Pm2NF2 at its relaxed geometry, with properties calculated at the PBE level.

Computed properties:
DOS(E_F)	0.259	states/eV per atom
V	17.6	A^3/atom
magnetic moment	1.0	μB per formula unit

abc: 7.8825 6.9279 6.4594
angles: 90.00 90.67 90.00
Atoms (fractional coordinates):
Pm  0.1215  0.0989  0.1993
Pm  0.1215  0.4011  0.6993
Pm  0.3632  0.5925  0.2540
Pm  0.3632  0.9075  0.7540
Pm  0.6368  0.0925  0.2460
Pm  0.6368  0.4075  0.7460
Pm  0.8785  0.5989  0.3007
Pm  0.8785  0.9011  0.8007
N  0.1281  0.0839  0.8394
N  0.1281  0.4161  0.3394
N  0.8719  0.5839  0.6606
N  0.8719  0.9161  0.1606
F  0.2057  0.6547  0.9329
F  0.2057  0.8453  0.4329
F  0.4428  0.1814  0.5541
F  0.4428  0.3186  0.0541
F  0.5572  0.6814  0.9459
F  0.5572  0.8186  0.4459
F  0.7943  0.1547  0.5671
F  0.7943  0.3453  0.0671

Stability verdict: entry A, ahead by 119 meV per atom

Entry A
Below is crystalline Pt2N2F at its relaxed geometry, with properties calculated at the PBE level.

Computed properties:
DOS(E_F)	0.561	states/eV per atom
V	12.8	A^3/atom
magnetic moment	0.0	μB per formula unit

abc: 5.0330 5.0330 5.0330
angles: 134.34 134.34 66.55
Atoms (fractional coordinates):
Pt  0.2500  0.7500  0.5000
Pt  0.7500  0.2500  0.5000
N  0.1510  0.1510  0.0000
N  0.8490  0.8490  0.0000
F  0.5000  0.5000  0.0000

Entry B
Below is crystalline Pt2N2F at its relaxed geometry, with properties calculated at the PBE level.

Computed properties:
DOS(E_F)	1.280	states/eV per atom
V	12.5	A^3/atom
magnetic moment	0.0	μB per formula unit

abc: 5.6194 5.6194 3.9537
angles: 90.00 90.00 90.00
Atoms (fractional coordinates):
Pt  0.1601  0.3399  0.0000
Pt  0.3399  0.8399  0.0000
Pt  0.6601  0.1601  0.0000
Pt  0.8399  0.6601  0.0000
N  0.0764  0.4236  0.5000
N  0.4236  0.9236  0.5000
N  0.5764  0.0764  0.5000
N  0.9236  0.5764  0.5000
F  0.0000  0.0000  0.5000
F  0.5000  0.5000  0.5000

Stability verdict: entry B, ahead by 535 meV per atom

Entry A
Below is crystalline PtNF3 at its relaxed geometry, with properties calculated at the PBE level.

Computed properties:
DOS(E_F)	4.284	states/eV per atom
V	14.2	A^3/atom
magnetic moment	0.0	μB per formula unit

abc: 4.1408 4.1408 4.1408
angles: 90.00 90.00 90.00
Atoms (fractional coordinates):
Pt  0.0000  0.0000  0.0000
N  0.5000  0.5000  0.5000
F  0.0000  0.0000  0.5000
F  0.0000  0.5000  0.0000
F  0.5000  0.0000  0.0000

Entry B
Below is crystalline PtNF3 at its relaxed geometry, with properties calculated at the PBE level.

Computed properties:
DOS(E_F)	1.246	states/eV per atom
V	11.7	A^3/atom
magnetic moment	2.4	μB per formula unit

abc: 3.8779 3.8779 3.8779
angles: 90.00 90.00 90.00
Atoms (fractional coordinates):
Pt  0.0000  0.0000  0.0000
N  0.5000  0.5000  0.5000
F  0.0000  0.5000  0.5000
F  0.5000  0.0000  0.5000
F  0.5000  0.5000  0.0000

Stability verdict: entry A, ahead by 242 meV per atom

Entry A
Below is crystalline PtN2F at its relaxed geometry, with properties calculated at the PBE level.

Computed properties:
DOS(E_F)	0.434	states/eV per atom
V	9.0	A^3/atom
magnetic moment	0.0	μB per formula unit

abc: 3.7055 3.7055 3.7055
angles: 60.00 60.00 60.00
Atoms (fractional coordinates):
Pt  0.0000  0.0000  0.0000
N  0.2500  0.2500  0.2500
N  0.7500  0.7500  0.7500
F  0.5000  0.5000  0.5000

Entry B
Below is crystalline PtN2F at its relaxed geometry, with properties calculated at the PBE level.

Computed properties:
DOS(E_F)	0.620	states/eV per atom
V	13.0	A^3/atom
magnetic moment	2.0	μB per formula unit

abc: 6.6092 6.6092 6.6092
angles: 26.85 26.85 26.85
Atoms (fractional coordinates):
Pt  0.0000  0.0000  0.0000
N  0.0953  0.0953  0.0953
N  0.9047  0.9047  0.9047
F  0.5000  0.5000  0.5000

Entry C
Below is crystalline PtN2F at its relaxed geometry, with properties calculated at the PBE level.

Computed properties:
DOS(E_F)	0.527	states/eV per atom
V	14.1	A^3/atom
magnetic moment	0.0	μB per formula unit

abc: 5.5090 5.5090 5.5090
angles: 122.73 122.73 85.33
Atoms (fractional coordinates):
Pt  0.0000  0.0000  0.0000
Pt  0.7500  0.2500  0.5000
N  0.0515  0.6250  0.9265
N  0.3750  0.3015  0.4265
N  0.6985  0.1250  0.0735
N  0.8750  0.9485  0.5735
F  0.2500  0.7500  0.5000
F  0.5000  0.5000  0.0000

Entry D
Below is crystalline PtN2F at its relaxed geometry, with properties calculated at the PBE level.

Computed properties:
DOS(E_F)	0.463	states/eV per atom
V	12.1	A^3/atom
magnetic moment	0.0	μB per formula unit

abc: 5.6082 5.6082 5.6082
angles: 33.67 33.67 33.67
Atoms (fractional coordinates):
Pt  0.0000  0.0000  0.0000
N  0.3875  0.3875  0.3875
N  0.6125  0.6125  0.6125
F  0.5000  0.5000  0.5000

Stability verdict: entry D, ahead by 364 meV per atom

Entry A
Below is crystalline RbPtN2F at its relaxed geometry, with properties calculated at the PBE level.

Computed properties:
DOS(E_F)	0.459	states/eV per atom
V	19.6	A^3/atom
magnetic moment	0.0	μB per formula unit

abc: 3.7770 3.7770 6.8529
angles: 90.00 90.00 90.00
Atoms (fractional coordinates):
Rb  0.0000  0.0000  0.0000
Pt  0.5000  0.5000  0.5000
N  0.0000  0.5000  0.5000
N  0.5000  0.0000  0.5000
F  0.5000  0.5000  0.0000

Entry B
Below is crystalline RbPtN2F at its relaxed geometry, with properties calculated at the PBE level.

Computed properties:
DOS(E_F)	1.170	states/eV per atom
V	30.0	A^3/atom
magnetic moment	6.1	μB per formula unit

abc: 5.5008 5.5008 4.9622
angles: 90.00 90.00 90.00
Atoms (fractional coordinates):
Rb  0.0000  0.0000  0.0000
Pt  0.5000  0.5000  0.5000
N  0.0000  0.5000  0.0000
N  0.5000  0.0000  0.0000
F  0.0000  0.0000  0.5000

Stability verdict: entry A, ahead by 2211 meV per atom

Entry A
Below is crystalline RePtN2F at its relaxed geometry, with properties calculated at the PBE level.

Computed properties:
DOS(E_F)	0.560	states/eV per atom
V	12.4	A^3/atom
magnetic moment	0.0	μB per formula unit

abc: 3.9158 3.9158 4.0384
angles: 90.00 90.00 90.00
Atoms (fractional coordinates):
Re  0.0000  0.0000  0.0000
Pt  0.5000  0.5000  0.5000
N  0.0000  0.5000  0.0000
N  0.5000  0.0000  0.0000
F  0.0000  0.0000  0.5000

Entry B
Below is crystalline RePtN2F at its relaxed geometry, with properties calculated at the PBE level.

Computed properties:
DOS(E_F)	0.482	states/eV per atom
V	13.2	A^3/atom
magnetic moment	2.7	μB per formula unit

abc: 3.9988 3.9988 4.1353
angles: 90.00 90.00 90.00
Atoms (fractional coordinates):
Re  0.0000  0.0000  0.0000
Pt  0.5000  0.5000  0.5000
N  0.0000  0.5000  0.5000
N  0.5000  0.0000  0.5000
F  0.5000  0.5000  0.0000

Stability verdict: entry A, ahead by 1088 meV per atom

Entry A
Below is crystalline PtRhNF2 at its relaxed geometry, with properties calculated at the PBE level.

Computed properties:
DOS(E_F)	1.242	states/eV per atom
V	15.0	A^3/atom
magnetic moment	1.8	μB per formula unit

abc: 4.5308 4.5308 3.6655
angles: 90.00 90.00 90.00
Atoms (fractional coordinates):
Pt  0.0000  0.0000  0.0000
Rh  0.5000  0.5000  0.5000
N  0.0000  0.0000  0.5000
F  0.0000  0.5000  0.0000
F  0.5000  0.0000  0.0000

Entry B
Below is crystalline PtRhNF2 at its relaxed geometry, with properties calculated at the PBE level.

Computed properties:
DOS(E_F)	1.377	states/eV per atom
V	13.5	A^3/atom
magnetic moment	0.6	μB per formula unit

abc: 4.2501 4.2501 3.7278
angles: 90.00 90.00 90.00
Atoms (fractional coordinates):
Pt  0.0000  0.0000  0.0000
Rh  0.5000  0.5000  0.5000
N  0.5000  0.5000  0.0000
F  0.0000  0.5000  0.5000
F  0.5000  0.0000  0.5000

Stability verdict: entry B, ahead by 74 meV per atom

Entry A
Below is crystalline PtS2NF at its relaxed geometry, with properties calculated at the PBE level.

Computed properties:
DOS(E_F)	0.632	states/eV per atom
V	14.6	A^3/atom
magnetic moment	2.3	μB per formula unit

abc: 4.4535 4.4535 3.6720
angles: 90.00 90.00 90.00
Atoms (fractional coordinates):
Pt  0.0000  0.0000  0.0000
S  0.0000  0.5000  0.5000
S  0.5000  0.0000  0.5000
N  0.5000  0.5000  0.0000
F  0.5000  0.5000  0.5000

Entry B
Below is crystalline PtS2NF at its relaxed geometry, with properties calculated at the PBE level.

Computed properties:
DOS(E_F)	0.637	states/eV per atom
V	18.3	A^3/atom
magnetic moment	2.9	μB per formula unit

abc: 4.9900 4.9900 3.6688
angles: 90.00 90.00 90.00
Atoms (fractional coordinates):
Pt  0.0000  0.0000  0.0000
S  0.0000  0.5000  0.0000
S  0.5000  0.0000  0.0000
N  0.0000  0.0000  0.5000
F  0.5000  0.5000  0.5000

Stability verdict: entry B, ahead by 865 meV per atom